## AcSiIr (PBE-GGA)

Data for a relaxed AcSiIr crystal.

Lattice parameters (Å, degrees): 4.7016 4.7016 4.7016 60.00 60.00 60.00
Fractional positions:
1 Ac 0.2500 0.2500 0.2500
2 Ir 0.7500 0.7500 0.7500
3 Si 0.0000 0.0000 0.0000

Values from the calculation:
The spin magnetization is 0.1 μB per formula unit. The energy above the most stable polymorph in this dataset comes out at 0.949 eV/atom. The crystal system is cubic.

***

## Pm4PBr5 (PBE-GGA)

Data for a relaxed Pm4PBr5 crystal.

Lattice parameters (Å, degrees): 9.4495 9.4495 8.5209 102.97 102.97 25.01
Fractional positions:
1 Br 0.8343 0.8343 0.6626
2 Br 0.1715 0.1715 0.8346
3 Br 0.5000 0.5000 0.5000
4 Br 0.1657 0.1657 0.3374
5 Br 0.8285 0.8285 0.1654
6 P 0.5000 0.5000 0.0000
7 Pm 0.6498 0.6498 0.0804
8 Pm 0.3502 0.3502 0.9196
9 Pm 0.9996 0.9996 0.2190
10 Pm 0.0004 0.0004 0.7810

Values from the calculation:
The spin magnetization is 0.0 μB per formula unit. As for the total DFT energy (no corrections): -4.954 eV/atom. The crystal system is monoclinic.

***

## LaPrGe2Pd4 (PBE-GGA)

Data for a relaxed LaPrGe2Pd4 crystal.

Lattice parameters (Å, degrees): 4.4483 4.4483 9.6514 90.00 90.00 120.00
Fractional positions:
1 Ge 0.6667 0.3333 0.2543
2 Ge 0.6667 0.3333 0.7457
3 Pd 0.3333 0.6667 0.8188
4 Pd 0.0000 0.0000 0.3199
5 Pd 0.3333 0.6667 0.1812
6 Pd 0.0000 0.0000 0.6801
7 Pr 0.3333 0.6667 0.5000
8 La 0.0000 0.0000 0.0000

Values from the calculation:
The spin magnetization is 0.0 μB per formula unit. As for the total DFT energy (no corrections): -5.741 eV/atom. The crystal system is hexagonal.

***

## DyThMo (PBE-GGA)

Data for a relaxed DyThMo crystal.

Lattice parameters (Å, degrees): 4.9072 4.9072 4.9072 60.00 60.00 60.00
Fractional positions:
1 Dy 0.2500 0.2500 0.2500
2 Th 0.7500 0.7500 0.7500
3 Mo 0.0000 0.0000 0.0000

Values from the calculation:
The spin magnetization is 0.0 μB per formula unit. The energy above the most stable polymorph in this dataset comes out at 0.000 eV/atom. The energy of formation from the pure elements comes out at 0.406 eV/atom. The crystal system is cubic.

***

## BeAlFe (PBE-GGA)

Data for a relaxed BeAlFe crystal.

Lattice parameters (Å, degrees): 4.9101 3.4113 7.6598 90.00 90.00 90.00
Fractional positions:
1 Al 0.1593 0.7500 0.0702
2 Al 0.3407 0.2500 0.5702
3 Al 0.6593 0.7500 0.4298
4 Al 0.8407 0.2500 0.9298
5 Be 0.6057 0.7500 0.7648
6 Be 0.8943 0.2500 0.2648
7 Be 0.3943 0.2500 0.2352
8 Be 0.1057 0.7500 0.7352
9 Fe 0.1489 0.7500 0.3773
10 Fe 0.8511 0.2500 0.6227
11 Fe 0.6489 0.7500 0.1227
12 Fe 0.3511 0.2500 0.8773

Values from the calculation:
The spin magnetization is 0.5 μB per formula unit. The energy above the most stable polymorph in this dataset comes out at 0.012 eV/atom. The crystal system is orthorhombic.

***

## NaLiPu (PBE-GGA)

Data for a relaxed NaLiPu crystal.

Lattice parameters (Å, degrees): 5.0505 5.0505 5.0505 60.00 60.00 60.00
Fractional positions:
1 Na 0.2500 0.2500 0.2500
2 Li 0.0000 0.0000 0.0000
3 Pu 0.7500 0.7500 0.7500

Values from the calculation:
The spin magnetization is 7.4 μB per formula unit. As for the total DFT energy (no corrections): -5.030 eV/atom. The crystal system is cubic.

***

## DyErAl2 (PBE-GGA)

Data for a relaxed DyErAl2 crystal.

Lattice parameters (Å, degrees): 5.0559 6.7541 6.7541 125.62 90.00 90.00
Fractional positions:
1 Al 0.2500 0.1832 0.3020
2 Al 0.7500 0.8546 0.1581
3 Al 0.7500 0.3020 0.1832
4 Al 0.2500 0.1581 0.8546
5 Dy 0.7500 0.3080 0.6989
6 Dy 0.2500 0.6989 0.3080
7 Er 0.2500 0.6725 0.8227
8 Er 0.7500 0.8227 0.6725

Values from the calculation:
The spin magnetization is 0.0 μB per formula unit. As for the total DFT energy (no corrections): -4.353 eV/atom. The crystal system is orthorhombic.

***

## DyTm2Ge3PdPt2 (PBE-GGA)

Data for a relaxed DyTm2Ge3PdPt2 crystal.

Lattice parameters (Å, degrees): 3.8842 7.2091 7.2091 120.23 90.00 90.00
Fractional positions:
1 Ge 0.5000 0.7439 0.0010
2 Ge 0.5000 0.2559 0.2559
3 Ge 0.5000 0.0010 0.7439
4 Pt 0.5000 0.6675 0.3308
5 Pt 0.5000 0.3308 0.6675
6 Tm 0.0000 0.9998 0.4054
7 Tm 0.0000 0.4054 0.9998
8 Pd 0.0000 0.0024 0.0024
9 Dy 0.0000 0.5936 0.5936

Values from the calculation:
The spin magnetization is 0.0 μB per formula unit. As for the total DFT energy (no corrections): -5.994 eV/atom. The crystal system is orthorhombic.

***

## CsTb (PBE-GGA)

Data for a relaxed CsTb crystal.

Lattice parameters (Å, degrees): 3.7953 3.7970 7.4879 90.00 90.00 119.99
Fractional positions:
1 Tb 0.3333 0.6665 0.2500
2 Cs 0.6667 0.3335 0.7500

Values from the calculation:
The spin magnetization is 1.7 μB per formula unit. The energy above the most stable polymorph in this dataset comes out at 0.000 eV/atom. The crystal system is hexagonal.

***

## Na4MgSn2Hg (PBE-GGA)

Data for a relaxed Na4MgSn2Hg crystal.

Lattice parameters (Å, degrees): 5.0201 5.0201 9.9766 90.00 90.00 120.00
Fractional positions:
1 Hg 0.0000 0.0000 0.5000
2 Na 0.3333 0.6667 0.3297
3 Na 0.6667 0.3333 0.1684
4 Na 0.3333 0.6667 0.6703
5 Na 0.6667 0.3333 0.8316
6 Sn 0.3333 0.6667 0.0000
7 Sn 0.6667 0.3333 0.5000
8 Mg 0.0000 0.0000 0.0000

Values from the calculation:
As for the total DFT energy (no corrections): -2.110 eV/atom. The crystal system is hexagonal.

***

## NdZn (PBE-GGA)

Data for a relaxed NdZn crystal.

Lattice parameters (Å, degrees): 6.0078 10.5951 4.6719 90.00 90.00 90.00
Fractional positions:
1 Nd 0.2665 0.6884 0.5000
2 Nd 0.5097 0.2412 0.0000
3 Nd 0.7665 0.4782 0.5000
4 Nd 0.4933 0.0039 0.5000
5 Nd 0.9933 0.1628 0.5000
6 Nd 0.0097 0.9255 0.0000
7 Zn 0.2883 0.3899 0.5000
8 Zn 0.5308 0.7923 0.0000
9 Zn 0.0308 0.3744 0.0000
10 Zn 0.9114 0.6426 0.0000
11 Zn 0.4114 0.5241 0.0000
12 Zn 0.7883 0.7768 0.5000

Values from the calculation:
The spin magnetization is 0.0 μB per formula unit. The energy of formation from the pure elements comes out at -0.166 eV/atom. The crystal system is orthorhombic.

***

## BiPIrO (PBE-GGA)

Data for a relaxed BiPIrO crystal.

Lattice parameters (Å, degrees): 3.3947 7.5709 6.0894 90.00 90.00 90.00
Fractional positions:
1 Bi 0.0000 0.2083 0.4093
2 Bi 0.0000 0.7917 0.9093
3 Ir 0.5000 0.6856 0.5490
4 Ir 0.5000 0.3144 0.0490
5 P 0.0000 0.8298 0.3879
6 P 0.0000 0.1702 0.8879
7 O 0.5000 0.4479 0.4078
8 O 0.5000 0.5521 0.9078

Values from the calculation:
The spin magnetization is 0.0 μB per formula unit. The energy above the most stable polymorph in this dataset comes out at 0.492 eV/atom. The crystal system is orthorhombic.

***

## NpTlPd (PBE-GGA)

Data for a relaxed NpTlPd crystal.

Lattice parameters (Å, degrees): 4.6996 4.6996 4.6996 60.00 60.00 60.00
Fractional positions:
1 Pd 0.0000 0.0000 0.0000
2 Np 0.7500 0.7500 0.7500
3 Tl 0.2500 0.2500 0.2500

Values from the calculation:
The spin magnetization is 4.5 μB per formula unit. As for the total DFT energy (no corrections): -6.704 eV/atom. The crystal system is cubic.

***

## ScNbTc (PBE-GGA)

Data for a relaxed ScNbTc crystal.

Lattice parameters (Å, degrees): 3.2250 3.2250 10.5664 90.00 90.00 90.00
Fractional positions:
1 Tc 0.5000 0.0000 0.2257
2 Tc 0.0000 0.5000 0.7743
3 Sc 0.0000 0.5000 0.3800
4 Sc 0.5000 0.0000 0.6200
5 Nb 0.5000 0.0000 0.9152
6 Nb 0.0000 0.5000 0.0848

Values from the calculation:
The spin magnetization is 0.0 μB per formula unit. The energy above the most stable polymorph in this dataset comes out at 0.000 eV/atom. The energy of formation from the pure elements comes out at -0.272 eV/atom. The crystal system is tetragonal.

***

## PrAlPt (PBE-GGA)

Data for a relaxed PrAlPt crystal.

Lattice parameters (Å, degrees): 4.8735 4.3136 12.5139 90.00 90.00 90.00
Fractional positions:
1 Pr 0.7446 0.2500 0.3378
2 Pr 0.7554 0.7500 0.8378
3 Pr 0.2446 0.2500 0.1622
4 Pr 0.2554 0.7500 0.6622
5 Pt 0.2629 0.7500 0.9829
6 Pt 0.7629 0.7500 0.5171
7 Pt 0.7371 0.2500 0.0171
8 Pt 0.2371 0.2500 0.4829
9 Al 0.2548 0.7500 0.3847
10 Al 0.7452 0.2500 0.6153
11 Al 0.7548 0.7500 0.1153
12 Al 0.2452 0.2500 0.8847

Values from the calculation:
The spin magnetization is 0.0 μB per formula unit. As for the total DFT energy (no corrections): -5.651 eV/atom. The crystal system is orthorhombic.

***

## FeAgGeAu (PBE-GGA)

Data for a relaxed FeAgGeAu crystal.

Lattice parameters (Å, degrees): 4.5369 4.5369 4.5369 60.00 60.00 60.00
Fractional positions:
1 Au 0.5000 0.5000 0.5000
2 Fe 0.7500 0.7500 0.7500
3 Ag 0.2500 0.2500 0.2500
4 Ge 0.0000 0.0000 0.0000

Values from the calculation:
The spin magnetization is 2.7 μB per formula unit. The energy above the most stable polymorph in this dataset comes out at 0.000 eV/atom. The crystal system is cubic.

***

## TbYGa (PBE-GGA)

Data for a relaxed TbYGa crystal.

Lattice parameters (Å, degrees): 4.9700 4.9700 4.9700 60.00 60.00 60.00
Fractional positions:
1 Tb 0.2500 0.2500 0.2500
2 Y 0.7500 0.7500 0.7500
3 Ga 0.0000 0.0000 0.0000

Values from the calculation:
The spin magnetization is 0.1 μB per formula unit. The energy above the most stable polymorph in this dataset comes out at 0.000 eV/atom. The crystal system is cubic.

***

## TlZnCoAu (PBE-GGA)

Data for a relaxed TlZnCoAu crystal.

Lattice parameters (Å, degrees): 4.5576 4.5576 4.5576 60.00 60.00 60.00
Fractional positions:
1 Zn 0.2500 0.2500 0.2500
2 Au 0.5000 0.5000 0.5000
3 Co 0.7500 0.7500 0.7500
4 Tl 0.0000 0.0000 0.0000

Values from the calculation:
The spin magnetization is 1.2 μB per formula unit. As for the total DFT energy (no corrections): -3.184 eV/atom. The crystal system is cubic.

***

## Gd2DySn3Pt3 (PBE-GGA)

Data for a relaxed Gd2DySn3Pt3 crystal.

Lattice parameters (Å, degrees): 4.0441 7.5294 7.5294 119.92 90.00 90.00
Fractional positions:
1 Gd 0.0000 0.9999 0.5932
2 Gd 0.0000 0.5932 0.9999
3 Pt 0.0000 0.0014 0.0014
4 Pt 0.5000 0.3339 0.6650
5 Pt 0.5000 0.6650 0.3339
6 Sn 0.5000 0.7426 0.7426
7 Sn 0.5000 0.0001 0.2579
8 Sn 0.5000 0.2579 0.0001
9 Dy 0.0000 0.4062 0.4062

Values from the calculation:
The spin magnetization is 0.0 μB per formula unit. As for the total DFT energy (no corrections): -5.993 eV/atom. The crystal system is orthorhombic.

***

## YPaAsO (PBE-GGA)

Data for a relaxed YPaAsO crystal.

Lattice parameters (Å, degrees): 4.2203 4.2203 9.3508 90.00 90.00 90.00
Fractional positions:
1 Y 0.0000 0.5000 0.8983
2 Y 0.5000 0.0000 0.1017
3 Pa 0.5000 0.5000 0.5000
4 Pa 0.0000 0.0000 0.5000
5 O 0.5000 0.5000 0.0000
6 O 0.0000 0.0000 0.0000
7 As 0.5000 0.0000 0.7238
8 As 0.0000 0.5000 0.2762

Values from the calculation:
The spin magnetization is 0.0 μB per formula unit. The energy above the most stable polymorph in this dataset comes out at 0.063 eV/atom. The crystal system is tetragonal.

***

## Tl2FeAuCl6 (PBE-GGA)

Data for a relaxed Tl2FeAuCl6 crystal.

Lattice parameters (Å, degrees): 7.1169 7.1169 7.1169 120.04 120.04 89.93
Fractional positions:
1 Fe 0.0000 0.0000 0.0000
2 Cl 0.7695 0.7537 0.5231
3 Cl 0.2305 0.2463 0.4769
4 Cl 0.7537 0.2305 0.9842
5 Cl 0.2383 0.2383 0.0000
6 Cl 0.2463 0.7695 0.0158
7 Cl 0.7617 0.7617 0.0000
8 Tl 0.7500 0.2500 0.5000
9 Tl 0.2500 0.7500 0.5000
10 Au 0.5000 0.5000 0.0000

Values from the calculation:
The spin magnetization is 4.2 μB per formula unit. As for the total DFT energy (no corrections): -3.412 eV/atom. The crystal system is tetragonal.

***

## RbDy (PBE-GGA)

Data for a relaxed RbDy crystal.

Lattice parameters (Å, degrees): 3.7177 3.7170 7.3515 90.00 90.00 120.01
Fractional positions:
1 Dy 0.6667 0.3333 0.7500
2 Rb 0.3333 0.6667 0.2500

Values from the calculation:
The spin magnetization is 1.7 μB per formula unit. As for the total DFT energy (no corrections): -2.115 eV/atom. The crystal system is hexagonal.

***

## Nd3AlBr2F (PBE-GGA)

Data for a relaxed Nd3AlBr2F crystal.

Lattice parameters (Å, degrees): 5.8027 5.8027 5.9904 90.00 90.00 90.00
Fractional positions:
1 Nd 0.0000 0.0000 0.0000
2 Nd 0.0000 0.5000 0.5000
3 Nd 0.5000 0.0000 0.5000
4 Br 0.5000 0.0000 0.0000
5 Br 0.0000 0.5000 0.0000
6 F 0.5000 0.5000 0.5000
7 Al 0.0000 0.0000 0.5000

Values from the calculation:
The spin magnetization is 0.0 μB per formula unit. As for the total DFT energy (no corrections): -4.747 eV/atom. The crystal system is tetragonal.

***

## Nd2Ga3Hg3 (PBE-GGA)

Data for a relaxed Nd2Ga3Hg3 crystal.

Lattice parameters (Å, degrees): 4.8154 6.7026 6.7026 59.54 90.00 90.00
Fractional positions:
1 Ga 0.5000 0.6987 0.1407
2 Ga 0.0000 0.8470 0.8470
3 Ga 0.5000 0.1407 0.6987
4 Nd 0.5000 0.6727 0.6727
5 Nd 0.0000 0.3366 0.3366
6 Hg 0.0000 0.8297 0.3168
7 Hg 0.0000 0.3168 0.8297
8 Hg 0.5000 0.1579 0.1579

Values from the calculation:
The spin magnetization is 0.0 μB per formula unit. As for the total DFT energy (no corrections): -2.862 eV/atom. The crystal system is orthorhombic.

***

## Cu2Ag (PBE-GGA)

Data for a relaxed Cu2Ag crystal.

Lattice parameters (Å, degrees): 4.6197 2.7450 6.6050 90.00 92.81 90.00
Fractional positions:
1 Cu 0.5000 0.0000 0.5000
2 Cu 0.8225 0.0000 0.1930
3 Cu 0.1775 0.0000 0.8070
4 Cu 0.0000 0.5000 0.5000
5 Ag 0.3116 0.5000 0.1613
6 Ag 0.6884 0.5000 0.8387

Values from the calculation:
The energy above the most stable polymorph in this dataset comes out at 0.046 eV/atom. The energy of formation from the pure elements comes out at 0.091 eV/atom. The crystal system is monoclinic.

***

## Y2ErAl3CuGe2 (PBE-GGA)

Data for a relaxed Y2ErAl3CuGe2 crystal.

Lattice parameters (Å, degrees): 4.1635 6.9970 6.9970 119.98 90.00 90.00
Fractional positions:
1 Ge 0.5000 0.6658 0.3336
2 Ge 0.5000 0.3336 0.6658
3 Al 0.5000 0.7676 0.7676
4 Al 0.5000 0.0004 0.2323
5 Al 0.5000 0.2323 0.0004
6 Er 0.0000 0.4028 0.4028
7 Y 0.0000 0.5967 0.9998
8 Y 0.0000 0.9998 0.5967
9 Cu 0.0000 0.0010 0.0010

Values from the calculation:
The spin magnetization is 0.0 μB per formula unit. As for the total DFT energy (no corrections): -5.297 eV/atom. The crystal system is orthorhombic.